# 1
A plane-wave DFT calculation with PBE-GGA was carried out for a geometry-optimized PaTaAlTc structure.

Summary:
volume = 18.0 A^3/atom
formation energy = -0.49 eV per formula unit
crystal system = cubic

Structure (CIF):
```
data_PaTaAlTc
_cell_length_a 6.6090
_cell_length_b 6.6090
_cell_length_c 6.6090
_cell_angle_alpha 90.00
_cell_angle_beta 90.00
_cell_angle_gamma 90.00
_symmetry_space_group_name_H-M 'F -4 3 m'
_symmetry_Int_Tables_number 216
_symmetry_space_group_name_Hall 'F -4 2 3'
loop_
_atom_site_label
_atom_site_fract_x
_atom_site_fract_y
_atom_site_fract_z
Pa1 0.0000 0.0000 0.0000
Ta1 0.2500 0.2500 0.2500
Al1 0.0000 0.0000 0.5000
Tc1 0.2500 0.2500 0.7500
```

=====

# 2
A plane-wave DFT calculation with PBE-GGA was carried out for a geometry-optimized TbPa2Al structure.

Summary:
volume = 24.3 A^3/atom
formation energy = -0.05 eV per formula unit
crystal system = tetragonal

Structure (CIF):
```
data_TbPa2Al
_cell_length_a 4.4046
_cell_length_b 4.4046
_cell_length_c 5.0025
_cell_angle_alpha 90.00
_cell_angle_beta 90.00
_cell_angle_gamma 90.00
_symmetry_space_group_name_H-M 'P 4/m m m'
_symmetry_Int_Tables_number 123
_symmetry_space_group_name_Hall '-P 4 2'
loop_
_atom_site_label
_atom_site_fract_x
_atom_site_fract_y
_atom_site_fract_z
Tb1 0.0000 0.0000 0.0000
Pa1 0.0000 0.5000 0.5000
Al1 0.5000 0.5000 0.0000
```